Material: SrLi2Se2
Method: DFT, meta-GGA SCAN
State: PBEsol geometry

a b c (Å): 7.482 7.482 3.559
angles (deg): 90.00 90.00 90.00
Atoms (fractional coordinates):
Sr: 0.000 0.000 0.000
Sr: 0.500 0.500 0.000
Li: 0.115 0.385 0.000
Li: 0.385 0.885 0.000
Li: 0.615 0.115 0.000
Li: 0.885 0.615 0.000
Se: 0.184 0.684 0.500
Se: 0.316 0.184 0.500
Se: 0.684 0.816 0.500
Se: 0.816 0.316 0.500

Properties
- density (g/cm3) = 4.3
- D(E_F) (states/eV/cell) = 0.00
- uncorrected formation energy (kJ/mol of atoms) = -131.4
- size of the total moment (μB/atom) = 0.000